A relaxed In5Hg24 crystal, computed with PBE-GGA.

abc: 10.0697 10.0697 10.0697
angles: 109.47 109.47 109.47
Element x y z (fractional)
In1 0.0000 0.0000 0.0000
In2 0.0000 0.0000 0.3304
In3 0.0000 0.3304 0.0000
In4 0.3304 0.0000 0.0000
In5 0.6696 0.6696 0.6696
Hg1 0.0000 0.3034 0.5756
Hg2 0.0000 0.5756 0.3034
Hg3 0.0000 0.6090 0.8063
Hg4 0.0000 0.8063 0.6090
Hg5 0.1937 0.1937 0.8027
Hg6 0.1937 0.8027 0.1937
Hg7 0.1973 0.3910 0.3910
Hg8 0.2722 0.6966 0.6966
Hg9 0.3034 0.0000 0.5756
Hg10 0.3034 0.5756 0.0000
Hg11 0.3910 0.1973 0.3910
Hg12 0.3910 0.3910 0.1973
Hg13 0.4244 0.4244 0.7278
Hg14 0.4244 0.7278 0.4244
Hg15 0.5756 0.0000 0.3034
Hg16 0.5756 0.3034 0.0000
Hg17 0.6090 0.0000 0.8063
Hg18 0.6090 0.8063 0.0000
Hg19 0.6966 0.2722 0.6966
Hg20 0.6966 0.6966 0.2722
Hg21 0.7278 0.4244 0.4244
Hg22 0.8027 0.1937 0.1937
Hg23 0.8063 0.0000 0.6090
Hg24 0.8063 0.6090 0.0000

Output
Space-group type: I-43m
Energy of formation, eV per atom: 0.04
Calculated total energy, eV per atom: -0.6855
DOS at the Fermi energy, states/eV per cell: 11.19

A relaxed In5Hg crystal, computed with PBE-GGA.

abc: 3.2132 3.2132 15.5840
angles: 90.00 90.00 90.00
Element x y z (fractional)
In1 0.0000 0.0000 0.0000
In2 0.0000 0.0000 0.3348
In3 0.0000 0.0000 0.6652
In4 0.5000 0.5000 0.1678
In5 0.5000 0.5000 0.8322
Hg1 0.5000 0.5000 0.5000

Output
Space-group type: P4/mmm
Energy of formation, eV per atom: 0.02
Calculated total energy, eV per atom: -2.3139
DOS at the Fermi energy, states/eV per cell: 1.65

A relaxed In7Hg5 crystal, computed with PBE-GGA.

abc: 8.1705 8.1705 11.0825
angles: 99.86 99.86 26.04
Element x y z (fractional)
In1 0.0000 0.0000 0.0000
In2 0.0813 0.0813 0.7455
In3 0.1644 0.1644 0.4943
In4 0.4093 0.4093 0.7570
In5 0.5907 0.5907 0.2430
In6 0.8356 0.8356 0.5057
In7 0.9187 0.9187 0.2545
Hg1 0.2557 0.2557 0.2543
Hg2 0.3328 0.3328 0.0060
Hg3 0.5000 0.5000 0.5000
Hg4 0.6672 0.6672 0.9940
Hg5 0.7443 0.7443 0.7457

Output
Space-group type: C2/m
Energy of formation, eV per atom: 0.02
Calculated total energy, eV per atom: -1.7053
DOS at the Fermi energy, states/eV per cell: 4.61

A relaxed InHg crystal, computed with PBE-GGA.

abc: 6.0556 6.0556 8.5773
angles: 113.61 113.61 34.47
Element x y z (fractional)
In1 0.0000 0.0000 0.0000
In2 0.1052 0.1052 0.6329
In3 0.7644 0.7644 0.3393
Hg1 0.3781 0.3781 0.6702
Hg2 0.4875 0.4875 0.2991
Hg3 0.7255 0.7255 0.9668

Output
Space-group type: Cm
Energy of formation, eV per atom: 0.01
Calculated total energy, eV per atom: -1.5120
DOS at the Fermi energy, states/eV per cell: 1.55